(1)
A geometry-optimized Al2IrClO structure, computed with PBE.

a b c (Å): 4.9865 3.8302 4.9865
angles (deg): 90.00 90.00 90.00
Fractional coordinates of all 5 atoms:
1 Cl 0.5000 0.5000 0.5000
2 O 0.0000 0.5000 0.0000
3 Ir 0.0000 0.0000 0.0000
4 Al 0.5000 0.0000 0.0000
5 Al 0.0000 0.0000 0.5000

Results
symmetry	P4/mmm

***

(2)
A geometry-optimized Al2IrPdCl structure, computed with PBE.

a b c (Å): 4.5578 4.5578 4.3650
angles (deg): 90.00 90.00 90.00
Fractional coordinates of all 5 atoms:
1 Pd 0.0000 0.0000 0.5000
2 Ir 0.5000 0.5000 0.5000
3 Al 0.0000 0.5000 0.0000
4 Al 0.5000 0.0000 0.0000
5 Cl 0.0000 0.0000 0.0000

Results
symmetry	P4/mmm

***

(3)
A geometry-optimized AlIrS2Cl structure, computed with PBE.

a b c (Å): 4.6676 4.6676 4.8855
angles (deg): 90.00 90.00 90.00
Fractional coordinates of all 5 atoms:
1 Ir 0.0000 0.0000 0.0000
2 S 0.0000 0.5000 0.0000
3 Cl 0.0000 0.0000 0.5000
4 Al 0.5000 0.5000 0.5000
5 S 0.5000 0.0000 0.0000

Results
symmetry	P4/mmm
relative energy among the computed polymorphs	0	meV per atom

***

(4)
A geometry-optimized AlIrS2Cl structure, computed with PBE.

a b c (Å): 4.6460 4.6460 4.3140
angles (deg): 90.00 90.00 90.00
Last column: magnetic moment on the atom in μB.
Fractional coordinates of all 5 atoms:
1 S 0.0000 0.5000 0.0000  0.00
2 S 0.5000 0.0000 0.0000  0.00
3 Al 0.0000 0.0000 0.0000  0.00
4 Ir 0.5000 0.5000 0.5000  0.64
5 Cl 0.0000 0.0000 0.5000  0.06

Results
symmetry	P4/mmm
relative energy among the computed polymorphs	314	meV per atom

***

(5)
A geometry-optimized TaAlIr2Cl structure, computed with PBE.

a b c (Å): 4.7564 5.5400 4.7564
angles (deg): 90.00 90.00 90.00
Fractional coordinates of all 5 atoms:
1 Ta 0.0000 0.0000 0.0000
2 Cl 0.5000 0.5000 0.5000
3 Al 0.0000 0.5000 0.0000
4 Ir 0.0000 0.0000 0.5000
5 Ir 0.5000 0.0000 0.0000

Results
symmetry	P4/mmm

***

(6)
A geometry-optimized AlIr2WCl structure, computed with PBE.

a b c (Å): 4.4747 4.8324 4.4747
angles (deg): 90.00 90.00 90.00
Fractional coordinates of all 5 atoms:
1 W 0.0000 0.5000 0.0000
2 Al 0.0000 0.0000 0.0000
3 Cl 0.5000 0.5000 0.5000
4 Ir 0.5000 0.0000 0.0000
5 Ir 0.0000 0.0000 0.5000

Results
symmetry	P4/mmm

***

(7)
A geometry-optimized KAl2Cl6 structure, computed with PBE.

a b c (Å): 7.3262 7.3262 8.5825
angles (deg): 64.73 64.73 60.00
Last column: magnetic moment on the atom in μB.
Fractional coordinates of all 9 atoms:
1 Cl 0.3054 0.5652 0.2572  0.04
2 Al 0.6037 0.6037 0.1890  0.08
3 Cl 0.7533 0.4664 0.7454  0.04
4 Cl 0.4664 0.0349 0.7454  0.04
5 Al 0.7295 0.7295 0.8114  0.08
6 K 0.3350 0.3350 0.9950  0.00
7 Cl 0.5652 0.8723 0.2572  0.04
8 Cl 0.8723 0.3054 0.2572  0.04
9 Cl 0.0349 0.7533 0.7454  0.04

Results
symmetry	R3

***

(8)
A geometry-optimized KAlCl2 structure, computed with PBE.

a b c (Å): 5.3183 5.3183 5.3183
angles (deg): 60.00 60.00 60.00
Fractional coordinates of all 4 atoms:
1 Al 0.0000 0.0000 0.0000
2 K 0.5000 0.5000 0.5000
3 Cl 0.7500 0.7500 0.7500
4 Cl 0.2500 0.2500 0.2500

Results
symmetry	Fm-3m
relative energy among the computed polymorphs	136	meV per atom

***

(9)
A geometry-optimized KAl2Cl2 structure, computed with PBE.

a b c (Å): 9.0235 9.0235 3.4657
angles (deg): 90.00 90.00 90.00
Fractional coordinates of all 10 atoms:
1 K 0.0000 0.0000 0.0000
2 Al 0.3958 0.8958 0.0000
3 Cl 0.2202 0.7202 0.5000
4 Al 0.1042 0.3958 0.0000
5 Cl 0.2798 0.2202 0.5000
6 K 0.5000 0.5000 0.0000
7 Cl 0.7202 0.7798 0.5000
8 Al 0.6042 0.1042 0.0000
9 Cl 0.7798 0.2798 0.5000
10 Al 0.8958 0.6042 0.0000

Results
symmetry	P4/mbm
relative energy among the computed polymorphs	40	meV per atom

***

(10)
A geometry-optimized KAl3Cl structure, computed with PBE.

a b c (Å): 5.4209 5.4209 5.4209
angles (deg): 90.00 90.00 90.00
Fractional coordinates of all 5 atoms:
1 K 0.5000 0.5000 0.5000
2 Al 0.0000 0.0000 0.5000
3 Al 0.5000 0.0000 0.0000
4 Al 0.0000 0.5000 0.0000
5 Cl 0.0000 0.0000 0.0000

Results
symmetry	Pm-3m
relative energy among the computed polymorphs	0	meV per atom

***

(11)
A geometry-optimized K3AlCl6 structure, computed with PBE.

a b c (Å): 7.6326 10.0033 10.0033
angles (deg): 102.04 90.00 90.00
Fractional coordinates of all 20 atoms:
1 K 0.8733 0.5669 0.4331
2 Cl 0.1550 0.7006 0.6355
3 K 0.3733 0.4331 0.5669
4 Cl 0.1702 0.1207 0.6036
5 Cl 0.6550 0.6355 0.7006
6 Al 0.0691 0.1907 0.8093
7 K 0.9581 0.1100 0.3106
8 Cl 0.2883 0.8163 0.1837
9 Cl 0.1550 0.3645 0.2994
10 Cl 0.7883 0.1837 0.8163
11 Cl 0.6702 0.6036 0.1207
12 Cl 0.1702 0.3964 0.8793
13 Cl 0.1880 0.0638 0.9362
14 K 0.9581 0.6894 0.8900
15 Al 0.5691 0.8093 0.1907
16 K 0.4581 0.3106 0.1100
17 K 0.4581 0.8900 0.6894
18 Cl 0.6702 0.8793 0.3964
19 Cl 0.6880 0.9362 0.0638
20 Cl 0.6550 0.2994 0.3645

Results
symmetry	Cmc2_1

***

(12)
A geometry-optimized KAlCl2 structure, computed with PBE.

a b c (Å): 7.6788 7.6788 7.6788
angles (deg): 148.01 148.01 45.86
Fractional coordinates of all 4 atoms:
1 Cl 0.2500 0.7500 0.5000
2 Al 0.7500 0.2500 0.5000
3 Cl 0.0000 0.0000 0.0000
4 K 0.5000 0.5000 0.0000

Results
symmetry	I-4m2
relative energy among the computed polymorphs	175	meV per atom

***

(13)
A geometry-optimized KAlCl4 structure, computed with PBE.

a b c (Å): 6.1951 6.1951 6.1951
angles (deg): 60.00 60.00 60.00
Last column: magnetic moment on the atom in μB.
Fractional coordinates of all 6 atoms:
1 Cl 0.3746 0.8763 0.3746  0.42
2 Al 0.0000 0.0000 0.0000  0.00
3 Cl 0.3746 0.3746 0.3746  0.42
4 Cl 0.3746 0.3746 0.8763  0.42
5 Cl 0.8763 0.3746 0.3746  0.42
6 K 0.7500 0.7500 0.7500  0.00

Results
symmetry	F-43m

***

(14)
A geometry-optimized KAlCl2 structure, computed with PBE.

a b c (Å): 4.4590 4.4590 7.6025
angles (deg): 73.00 73.00 59.96
Fractional coordinates of all 4 atoms:
1 Cl 0.5028 0.5028 0.4910
2 Al 0.2500 0.2500 0.2500
3 Cl 0.9972 0.9972 0.0090
4 K 0.7500 0.7500 0.7500

Results
symmetry	C2/m
relative energy among the computed polymorphs	71	meV per atom

***

Energy values, unit eV per cell, following the record order: -25.12, -19.29, -21.31, -19.74, -28.66, -27.45, -32.82, -12.63, -27.79, -12.00, -72.09, -12.48, -13.68, -12.90.
Uncorrected formation energy values, unit eV/f.u., following the record order: -1.97, 4.10, 1.40, 2.97, 6.51, 8.82, -13.16, -4.10, -1.62, 2.17, -17.93, -3.95, -1.46, -4.36.